CsSrPb4 | Alexandria via LeMat-Bulk | GGA-PBE | optimized geometry; space group = F-43m, No. 216; calculated formation energy = -1.324 eV/f.u.
1.0
0.000 4.798 4.798
4.798 0.000 4.798
4.798 4.798 0.000
Cs Sr Pb
1 1 4
direct
0.000 0.000 0.000
0.750 0.750 0.750
0.376 0.376 0.376
0.376 0.376 0.871
0.376 0.871 0.376
0.871 0.376 0.376